Entry 1:
First-principles (PBE) data for an optimized crystal structure of InAgTe3Mo, as listed in OQMD via LeMat-Bulk.

Structure (POSCAR):
```
InAgTe3Mo
1.0
7.600 -1.904 0.000
7.600 1.904 0.000
0.000 0.000 10.677
Te Ag Mo In
6 2 2 2
Cartesian
5.560 0.000 5.626
5.560 0.000 10.390
13.938 0.000 2.669
9.639 0.000 5.052
9.639 0.000 0.287
1.261 0.000 8.008
6.843 0.000 8.008
8.356 0.000 2.669
0.000 0.000 5.339
0.000 0.000 0.000
3.582 0.000 2.669
11.618 0.000 8.008
```

Computed properties:
space group: No. 63
DFT total energy: -0.156 Ha/atom

Entry 2:
First-principles (PBE) data for an optimized crystal structure of KGaAu, as listed in OQMD via LeMat-Bulk.

Structure (POSCAR):
```
KGaAu
1.0
0.799 -4.646 -1.743
1.130 -3.720 3.186
-3.350 -3.636 0.909
Au Ga K
1 1 1
Cartesian
0.000 0.000 0.000
-0.355 -3.000 0.588
-1.065 -9.001 1.764
```

Computed properties:
space group: No. 216
DFT total energy: -0.089 Ha/atom

Entry 3:
First-principles (PBE) data for an optimized crystal structure of RbCuTcTeS2, as listed in OQMD via LeMat-Bulk.

Structure (POSCAR):
```
RbCuTcTeS2
1.0
-7.407 0.940 -3.720
5.489 -3.765 5.027
-3.097 5.614 7.587
Rb Cu S Tc Te
2 2 4 2 2
Cartesian
0.352 1.472 8.808
-5.367 1.317 0.086
-1.338 -0.153 2.819
-3.677 2.942 6.076
0.133 -1.577 1.899
-5.148 4.366 6.995
-3.922 2.144 3.993
-1.093 0.645 4.902
-1.549 2.807 3.793
0.000 0.000 0.000
-8.662 4.761 2.695
3.647 -1.972 6.199
```

Computed properties:
space group: No. 63
DFT total energy: -0.178 Ha/atom

Entry 4:
First-principles (PBE) data for an optimized crystal structure of CdGeB2, as listed in OQMD via LeMat-Bulk.

Structure (POSCAR):
```
CdGeB2
1.0
0.000 3.096 3.096
3.096 0.000 3.096
3.096 3.096 0.000
Ge Cd B
1 1 2
Cartesian
0.000 0.000 0.000
4.643 4.643 4.643
1.548 1.548 1.548
3.096 3.096 3.096
```

Computed properties:
space group: No. 216
DFT total energy: -0.111 Ha/atom

Entry 5:
First-principles (PBE) data for an optimized crystal structure of CsAcTc, as listed in OQMD via LeMat-Bulk.

Structure (POSCAR):
```
CsAcTc
1.0
-2.156 -4.490 2.127
-5.182 -0.032 1.575
-3.665 -2.835 -2.804
Ac Cs Tc
1 1 1
Cartesian
0.000 0.000 0.000
-2.751 -1.839 0.224
-8.252 -5.518 0.673
```

Computed properties:
offset from the most stable computed form: 0.00 eV/f.u.
space group: No. 216

Entry 6:
First-principles (PBE) data for an optimized crystal structure of KCd2Au3, as listed in OQMD via LeMat-Bulk.

Structure (POSCAR):
```
KCd2Au3
1.0
5.725 -4.605 0.000
5.725 4.605 0.000
0.000 0.000 5.916
Au K Cd
6 2 4
Cartesian
5.725 -0.906 4.437
8.036 -2.497 4.437
5.725 0.906 1.479
8.036 2.497 1.479
3.414 2.497 1.479
3.414 -2.497 4.437
5.725 -2.901 1.479
5.725 2.901 4.437
8.031 0.000 0.000
3.419 0.000 2.958
3.419 0.000 0.000
8.031 0.000 2.958
```

Computed properties:
space group: No. 63
DFT total energy: -0.088 Ha/atom

Entry 7:
First-principles (PBE) data for an optimized crystal structure of TbHfPbC, as listed in OQMD via LeMat-Bulk.

Structure (POSCAR):
```
TbHfPbC
1.0
-2.172 -1.596 2.199
1.998 -1.878 -2.141
11.208 -0.382 10.791
Hf Pb C Tb
2 2 2 2
Cartesian
5.307 -1.944 3.830
9.521 -2.041 10.672
9.106 -2.074 7.487
2.112 -1.789 3.539
11.079 -0.378 10.666
5.475 -0.187 5.271
1.549 -1.816 0.212
5.764 -1.913 7.055
```

Computed properties:
offset from the most stable computed form: 0.00 eV/f.u.
space group: No. 186

Entry 8:
First-principles (PBE) data for an optimized crystal structure of Na2Sc2GaGePt2, as listed in OQMD via LeMat-Bulk.

Structure (POSCAR):
```
Na2Sc2GaGePt2
1.0
-4.405 0.118 -1.312
-1.289 -1.327 4.209
-0.385 6.256 1.855
Na Pt Ge Sc Ga
2 2 1 2 1
Cartesian
-0.933 4.032 3.496
-2.298 1.620 -0.193
-2.491 4.750 0.735
-0.741 0.902 2.568
-3.039 2.523 2.376
-0.192 3.128 0.927
-2.847 -0.605 1.449
0.000 0.000 0.000
```

Computed properties:
space group: No. 115
DFT total energy: -0.182 Ha/atom